Entry 1:
A relaxed La5HoBi4 crystal, computed with PBE-GGA.

Properties
E_form (meV/atom): -628

a = 19.787 Å, b = 4.535 Å, c = 8.974 Å
α = 90.00°, β = 104.64°, γ = 90.00°
Space group C2/m (No. 12)
Asymmetric unit:
La 0.000 0.000 0.000
La 0.166 0.500 0.321
La 0.174 0.500 0.847
Ho 0.000 0.000 0.500
Bi 0.005 0.500 0.746
Bi 0.165 0.000 0.582


Entry 2:
A relaxed LaHo2Bi crystal, computed with PBE-GGA.

Properties
Relative energy among the computed polymorphs (eV per atom): 0.039
E_form (meV/atom): -339

a = 4.041 Å, b = 4.041 Å, c = 7.562 Å
α = 90.00°, β = 90.00°, γ = 90.00°
Space group P4/mmm (No. 123)
Asymmetric unit:
La 0.000 0.000 0.000
Ho 0.500 0.500 0.281
Bi 0.000 0.000 0.500


Record order is preserved below.
Magnetization: 0.001 0.001 μB/atom